{
  "formula": "Nd4GeAs2",
  "functional": "PBE-GGA",
  "state": "relaxed",
  "lattice": [[-4.540, 4.540, 4.551], [4.540, -4.540, 4.551], [4.540, 4.540, -4.551]],
  "species": ["Nd", "Nd", "Nd", "Nd", "Nd", "Nd", "Nd", "Nd", "Ge", "Ge", "As", "As", "As", "As"],
  "fractional_positions": [[0.124, 0.741, 0.748], [0.126, 0.243, 0.752], [0.259, 0.007, 0.383], [0.491, 0.374, 0.248], [0.624, 0.876, 0.617], [0.626, 0.874, 0.117], [0.757, 0.509, 0.883], [0.993, 0.376, 0.252], [0.000, 0.000, 0.000], [0.750, 0.250, 0.500], [0.250, 0.625, 0.125], [0.375, 0.500, 0.625], [0.500, 0.125, 0.875], [0.875, 0.750, 0.375]],
  "magmom_total_mub_per_cell": 0.0,
  "formation_enthalpy_0k_ev_per_atom": -1.121
}

=====

{
  "formula": "NaSrPa4N8",
  "functional": "PBE-GGA",
  "state": "relaxed",
  "lattice": [[3.571, 2.061, 5.500], [-3.571, 2.061, 5.500], [0.000, -4.123, 5.500]],
  "species": ["Na", "Sr", "Pa", "Pa", "Pa", "Pa", "N", "N", "N", "N", "N", "N", "N", "N"],
  "fractional_positions": [[0.000, 0.000, 0.000], [0.383, 0.383, 0.383], [0.004, 0.004, 0.491], [0.004, 0.491, 0.004], [0.491, 0.004, 0.004], [0.616, 0.616, 0.616], [0.232, 0.232, 0.232], [0.238, 0.735, 0.735], [0.249, 0.249, 0.813], [0.249, 0.813, 0.249], [0.735, 0.238, 0.735], [0.735, 0.735, 0.238], [0.754, 0.754, 0.754], [0.813, 0.249, 0.249]],
  "magmom_total_mub_per_cell": 0.0,
  "e_form_raw_ev_per_atom": -1.23
}

=====

{
  "formula": "Ac12Nd7Ho",
  "functional": "PBE-GGA",
  "state": "relaxed",
  "lattice": [[10.429, 6.021, 2.234], [-10.429, 6.021, 2.234], [0.000, -12.042, 2.234]],
  "species": ["Ac", "Ac", "Ac", "Ac", "Ac", "Ac", "Ac", "Ac", "Ac", "Ac", "Ac", "Ac", "Nd", "Nd", "Nd", "Nd", "Nd", "Nd", "Nd", "Ho"],
  "fractional_positions": [[0.000, 0.412, 0.588], [0.000, 0.588, 0.412], [0.069, 0.069, 0.415], [0.069, 0.415, 0.069], [0.412, 0.000, 0.588], [0.412, 0.588, 0.000], [0.415, 0.069, 0.069], [0.585, 0.931, 0.931], [0.588, 0.000, 0.412], [0.588, 0.412, 0.000], [0.931, 0.585, 0.931], [0.931, 0.931, 0.585], [0.000, 0.000, 0.000], [0.149, 0.392, 0.392], [0.392, 0.149, 0.392], [0.392, 0.392, 0.149], [0.608, 0.608, 0.851], [0.608, 0.851, 0.608], [0.851, 0.608, 0.608], [0.500, 0.500, 0.500]],
  "magmom_total_mub_per_cell": 0.0,
  "formation_enthalpy_0k_ev_per_atom": 0.182
}

=====

{
  "formula": "ScGaHg2Br",
  "functional": "PBE-GGA",
  "state": "relaxed",
  "lattice": [[5.715, 0.000, 0.000], [0.000, 5.715, 0.000], [0.000, 0.000, 5.150]],
  "species": ["Sc", "Ga", "Hg", "Hg", "Br"],
  "fractional_positions": [[0.000, 0.000, 0.000], [0.500, 0.500, 0.500], [0.000, 0.500, 0.000], [0.500, 0.000, 0.000], [0.000, 0.000, 0.500]],
  "magmom_total_mub_per_cell": 0.0,
  "e_form_raw_ev_per_atom": -0.05
}

=====

{
  "formula": "Ce8Pu3Cd2",
  "functional": "PBE-GGA",
  "state": "relaxed",
  "lattice": [[8.728, -3.416, 0.000], [8.728, 3.416, 0.000], [-0.263, 0.000, 5.637]],
  "species": ["Ce", "Ce", "Ce", "Ce", "Ce", "Ce", "Ce", "Ce", "Pu", "Pu", "Pu", "Cd", "Cd"],
  "fractional_positions": [[0.042, 0.042, 0.237], [0.108, 0.637, 0.267], [0.330, 0.330, 0.749], [0.363, 0.892, 0.733], [0.637, 0.108, 0.267], [0.670, 0.670, 0.251], [0.892, 0.363, 0.733], [0.958, 0.958, 0.763], [0.320, 0.680, 0.500], [0.500, 0.500, 0.000], [0.680, 0.320, 0.500], [0.219, 0.219, 0.232], [0.781, 0.781, 0.768]],
  "magmom_total_mub_per_cell": 2.3,
  "formation_enthalpy_0k_ev_per_atom": 0.067
}

=====

{
  "formula": "MnCr2Pt",
  "functional": "PBE-GGA",
  "state": "relaxed",
  "lattice": [[6.101, 0.000, 0.000], [0.000, 6.101, 0.000], [0.000, 0.000, 6.101]],
  "species": ["Mn", "Mn", "Mn", "Mn", "Cr", "Cr", "Cr", "Cr", "Cr", "Cr", "Cr", "Cr", "Pt", "Pt", "Pt", "Pt"],
  "fractional_positions": [[0.000, 0.000, 0.000], [0.000, 0.500, 0.500], [0.500, 0.000, 0.500], [0.500, 0.500, 0.000], [0.250, 0.250, 0.250], [0.250, 0.250, 0.750], [0.250, 0.750, 0.250], [0.250, 0.750, 0.750], [0.750, 0.250, 0.250], [0.750, 0.250, 0.750], [0.750, 0.750, 0.250], [0.750, 0.750, 0.750], [0.000, 0.000, 0.500], [0.000, 0.500, 0.000], [0.500, 0.000, 0.000], [0.500, 0.500, 0.500]],
  "magmom_total_mub_per_cell": 14.8,
  "formation_enthalpy_0k_ev_per_atom": 0.026
}

=====

{
  "formula": "NbGeSeBr2",
  "functional": "PBE-GGA",
  "state": "relaxed",
  "lattice": [[5.282, 0.000, 0.000], [0.000, 5.282, 0.000], [0.000, 0.000, 5.068]],
  "species": ["Nb", "Ge", "Se", "Br", "Br"],
  "fractional_positions": [[0.000, 0.000, 0.000], [0.500, 0.500, 0.500], [0.000, 0.000, 0.500], [0.000, 0.500, 0.000], [0.500, 0.000, 0.000]],
  "magmom_total_mub_per_cell": 2.9,
  "de_polymorph_ev_per_atom": 0.0000,
  "e_form_raw_ev_per_atom": 0.09
}

=====

{
  "formula": "Tb3DyTm6",
  "functional": "PBE-GGA",
  "state": "relaxed",
  "lattice": [[5.446, -9.366, 0.000], [5.446, 9.366, 0.000], [0.000, 0.000, 6.116]],
  "species": ["Tb", "Tb", "Tb", "Tb", "Tb", "Tb", "Dy", "Dy", "Tm", "Tm", "Tm", "Tm", "Tm", "Tm", "Tm", "Tm", "Tm", "Tm", "Tm", "Tm"],
  "fractional_positions": [[0.108, 0.892, 0.500], [0.220, 0.437, 0.110], [0.437, 0.220, 0.610], [0.563, 0.780, 0.110], [0.780, 0.563, 0.610], [0.892, 0.108, 0.000], [0.291, 0.709, 0.416], [0.709, 0.291, 0.916], [0.041, 0.463, 0.704], [0.117, 0.212, 0.537], [0.212, 0.117, 0.037], [0.215, 0.785, 0.927], [0.452, 0.548, 0.648], [0.463, 0.041, 0.204], [0.537, 0.959, 0.704], [0.548, 0.452, 0.148], [0.785, 0.215, 0.427], [0.788, 0.883, 0.537], [0.883, 0.788, 0.037], [0.959, 0.537, 0.204]],
  "magmom_total_mub_per_cell": 0.0,
  "de_polymorph_ev_per_atom": 0.0000,
  "formation_enthalpy_0k_ev_per_atom": 0.149
}

=====

{
  "formula": "NbRu3Pt",
  "functional": "PBE-GGA",
  "state": "relaxed",
  "lattice": [[5.232, 0.000, 0.000], [-2.616, 4.531, 0.000], [0.000, 0.000, 12.985]],
  "species": ["Nb", "Nb", "Nb", "Ru", "Ru", "Ru", "Ru", "Ru", "Ru", "Ru", "Ru", "Ru", "Pt", "Pt", "Pt"],
  "fractional_positions": [[0.000, 0.000, 0.000], [0.333, 0.667, 0.667], [0.667, 0.333, 0.333], [0.000, 0.500, 0.000], [0.167, 0.333, 0.333], [0.167, 0.833, 0.333], [0.333, 0.167, 0.667], [0.500, 0.000, 0.000], [0.500, 0.500, 0.000], [0.667, 0.833, 0.333], [0.833, 0.167, 0.667], [0.833, 0.667, 0.667], [0.000, 0.000, 0.500], [0.333, 0.667, 0.167], [0.667, 0.333, 0.833]],
  "magmom_total_mub_per_cell": 3.8,
  "de_polymorph_ev_per_atom": 0.0000,
  "formation_enthalpy_0k_ev_per_atom": 0.974
}

=====

{
  "formula": "YPH3",
  "functional": "PBE-GGA",
  "state": "relaxed",
  "lattice": [[3.986, 0.000, 0.000], [0.000, 3.986, 0.000], [0.000, 0.000, 3.986]],
  "species": ["Y", "P", "H", "H", "H"],
  "fractional_positions": [[0.000, 0.000, 0.000], [0.500, 0.500, 0.500], [0.000, 0.000, 0.500], [0.000, 0.500, 0.000], [0.500, 0.000, 0.000]],
  "magmom_total_mub_per_cell": 0.0,
  "de_polymorph_ev_per_atom": 0.1276
}

=====

{
  "formula": "GeOsRuSe2",
  "functional": "PBE-GGA",
  "state": "relaxed",
  "lattice": [[4.895, 0.000, 0.000], [0.000, 4.895, 0.000], [0.000, 0.000, 4.726]],
  "species": ["Ge", "Os", "Ru", "Se", "Se"],
  "fractional_positions": [[0.000, 0.000, 0.000], [0.000, 0.000, 0.500], [0.500, 0.500, 0.000], [0.000, 0.500, 0.500], [0.500, 0.000, 0.500]],
  "magmom_total_mub_per_cell": 1.6,
  "e_form_raw_ev_per_atom": 1.21
}

=====

{
  "formula": "FeReRu2",
  "functional": "PBE-GGA",
  "state": "relaxed",
  "lattice": [[3.801, 0.000, 0.000], [0.000, 3.801, 0.000], [0.000, 0.000, 3.745]],
  "species": ["Fe", "Re", "Ru", "Ru"],
  "fractional_positions": [[0.000, 0.000, 0.000], [0.500, 0.500, 0.000], [0.000, 0.500, 0.500], [0.500, 0.000, 0.500]],
  "magmom_total_mub_per_cell": 0.9,
  "formation_enthalpy_0k_ev_per_atom": 0.080
}